[1]
GeTePd3 | GGA-PBE | relaxed

Its formation energy without anion corrections is -0.366 eV/atom.

The structure belongs to space group Pmc2_1 (No. 26); the cell edges are 4.0965, 7.8669 and 6.1499 Å and the angles 90.00°, 90.00° and 90.00°. The asymmetric unit holds Ge at (0.0000, 0.1338, 0.0000), Te at (0.5000, 0.3679, 0.4560), Pd at (0.0000, 0.1743, 0.5862), Pd at (0.5000, 0.0643, 0.2524) and Pd at (0.5000, 0.2924, 0.8832).



[2]
MnBeIn2 | GGA-PBE | relaxed

The formation energy is 0.4290 eV per atom.

The structure belongs to space group I4/mmm (No. 139); the cell edges are 4.0932, 4.0932 and 8.2003 Å and the angles 90.00°, 90.00° and 90.00°. The asymmetric unit holds Mn at (0.0000, 0.0000, 0.0000), Be at (0.0000, 0.0000, 0.5000) and In at (0.0000, 0.5000, 0.2500).